Cs2RbSbAu | PBE | optimized geometry

Cell lengths 6.9881, 6.9881, 5.4228 Å; angles 90.00, 90.00, 90.00 degrees
Last column: nearest neighbours and their distance in Å.
Atoms (fractional coordinates):
Cs (0.0000, 0.5000, 0.0000)  2 Au 3.49
Cs (0.5000, 0.0000, 0.0000)  2 Au 3.49
Rb (0.0000, 0.0000, 0.5000)  8 Cs 4.42, 4 Sb 4.94
Sb (0.5000, 0.5000, 0.5000)  2 Au 2.71
Au (0.5000, 0.5000, 0.0000)  2 Sb 2.71

Summary:
V = 53.0 Å³ per atom
Energy relative to the elements, uncorrected = -214 meV per atom
DFT total energy = -2.23 eV/atom
Magnetic moment = 0.38 μB per formula unit